[1]
The following is a DFT calculation (PBE) of crystalline DyTeAuO at its relaxed geometry.

## Properties
Energy above the lowest structure with this stoichiometry, meV per atom: 39.7

Unit cell a=10.0652 b=5.6843 c=5.6842 alpha=90.00 beta=90.00 gamma=90.00
Space group Pbcm (No. 57)
Unique sites:
Dy (0.1066, 0.9999, 0.2500) (multiplicity 4)
Te (0.2853, 0.0007, 0.7500) (multiplicity 4)
Au (0.4989, 0.7500, 0.0000) (multiplicity 4)
O (0.0000, 0.2500, 0.0000) (multiplicity 4)

[2]
The following is a DFT calculation (PBE) of crystalline CsNdPa at its relaxed geometry.

## Properties
Energy above the lowest structure with this stoichiometry, meV per atom: 0.0

Unit cell a=7.9216 b=7.9216 c=7.9216 alpha=90.00 beta=90.00 gamma=90.00
Space group F-43m (No. 216)
Unique sites:
Cs (0.0000, 0.0000, 0.0000) (multiplicity 4)
Nd (0.2500, 0.2500, 0.2500) (multiplicity 4)
Pa (0.0000, 0.0000, 0.5000) (multiplicity 4)

[3]
The following is a DFT calculation (PBE) of crystalline Nb4ZnPbC2 at its relaxed geometry.

Unit cell a=3.2262 b=3.2262 c=14.0297 alpha=90.00 beta=90.00 gamma=120.00
Space group P-6m2 (No. 187)
Unique sites:
Nb (0.0000, 0.0000, 0.1573) (multiplicity 2)
Nb (0.6667, 0.3333, 0.3240) (multiplicity 2)
Zn (0.6667, 0.3333, 0.0000) (multiplicity 1)
Pb (0.0000, 0.0000, 0.5000) (multiplicity 1)
C (0.3333, 0.6667, 0.2394) (multiplicity 2)

[4]
The following is a DFT calculation (PBE) of crystalline BaNpBe at its relaxed geometry.

## Properties
Energy above the lowest structure with this stoichiometry, meV per atom: 0.0

Unit cell a=7.1955 b=7.1955 c=7.1955 alpha=90.00 beta=90.00 gamma=90.00
Space group F-43m (No. 216)
Unique sites:
Ba (0.0000, 0.0000, 0.0000) (multiplicity 4)
Np (0.0000, 0.0000, 0.5000) (multiplicity 4)
Be (0.2500, 0.2500, 0.2500) (multiplicity 4)

[5]
The following is a DFT calculation (PBE) of crystalline TbY2Ni2B2As3 at its relaxed geometry.

Unit cell a=4.0262 b=4.0262 c=21.8729 alpha=90.00 beta=90.00 gamma=90.00
Space group I4/mmm (No. 139)
Unique sites:
Tb (0.0000, 0.0000, 0.0000) (multiplicity 2)
Y (0.0000, 0.0000, 0.3589) (multiplicity 4)
Ni (0.0000, 0.5000, 0.2500) (multiplicity 4)
B (0.0000, 0.0000, 0.2247) (multiplicity 4)
As (0.0000, 0.0000, 0.1294) (multiplicity 4)
As (0.0000, 0.0000, 0.5000) (multiplicity 2)

[6]
The following is a DFT calculation (PBE) of crystalline HfMgNiGe at its relaxed geometry.

## Properties
Energy above the lowest structure with this stoichiometry, meV per atom: 8.5

Unit cell a=6.4035 b=6.4035 c=6.4035 alpha=90.00 beta=90.00 gamma=90.00
Space group F-43m (No. 216)
Unique sites:
Hf (0.0000, 0.0000, 0.0000) (multiplicity 4)
Mg (0.2500, 0.2500, 0.2500) (multiplicity 4)
Ni (0.2500, 0.2500, 0.7500) (multiplicity 4)
Ge (0.0000, 0.0000, 0.5000) (multiplicity 4)

[7]
The following is a DFT calculation (PBE) of crystalline Ga2AgPd2 at its relaxed geometry.

Unit cell a=7.3331 b=7.3331 c=2.9656 alpha=90.00 beta=90.00 gamma=90.00
Space group P4/mbm (No. 127)
Unique sites:
Ga (0.1467, 0.3533, 0.0000) (multiplicity 4)
Ag (0.0000, 0.0000, 0.0000) (multiplicity 2)
Pd (0.1497, 0.6497, 0.5000) (multiplicity 4)

[8]
The following is a DFT calculation (PBE) of crystalline NbPtNO at its relaxed geometry.

## Properties
Energy above the lowest structure with this stoichiometry, meV per atom: 0.0

Unit cell a=3.5651 b=6.6210 c=5.4733 alpha=90.00 beta=90.00 gamma=90.00
Space group Pmc2_1 (No. 26)
Unique sites:
Nb (0.0000, 0.1964, 0.0000) (multiplicity 2)
Pt (0.5000, 0.4992, 0.6101) (multiplicity 2)
N (0.5000, 0.2722, 0.8544) (multiplicity 2)
O (0.0000, 0.0494, 0.2919) (multiplicity 2)

[9]
The following is a DFT calculation (PBE) of crystalline NaSiAsIr2 at its relaxed geometry.

Unit cell a=4.1051 b=4.1051 c=10.2657 alpha=90.00 beta=90.00 gamma=90.00
Space group I4mm (No. 107)
Unique sites:
Na (0.0000, 0.0000, 0.0000) (multiplicity 2)
Si (0.0000, 0.0000, 0.3719) (multiplicity 2)
As (0.0000, 0.0000, 0.6202) (multiplicity 2)
Ir (0.0000, 0.5000, 0.2552) (multiplicity 4)

[10]
The following is a DFT calculation (PBE) of crystalline LuCoAu at its relaxed geometry.

## Properties
Formation enthalpy at 0 K, meV per atom: 224

Unit cell a=6.3283 b=6.3283 c=6.3283 alpha=90.00 beta=90.00 gamma=90.00
Space group F-43m (No. 216)
Unique sites:
Lu (0.0000, 0.0000, 0.0000) (multiplicity 4)
Co (0.2500, 0.2500, 0.2500) (multiplicity 4)
Au (0.2500, 0.2500, 0.7500) (multiplicity 4)

[11]
The following is a DFT calculation (PBE) of crystalline UGaSi at its relaxed geometry.

Unit cell a=6.3291 b=6.3291 c=6.3291 alpha=90.00 beta=90.00 gamma=90.00
Space group F-43m (No. 216)
Unique sites:
U (0.0000, 0.0000, 0.0000) (multiplicity 4)
Ga (0.0000, 0.0000, 0.5000) (multiplicity 4)
Si (0.2500, 0.2500, 0.7500) (multiplicity 4)

[12]
The following is a DFT calculation (PBE) of crystalline MgCuSn2N4 at its relaxed geometry.

Unit cell a=4.7783 b=4.7783 c=9.6425 alpha=90.00 beta=90.00 gamma=90.00
Space group I-4 (No. 82)
Unique sites:
Mg (0.0000, 0.0000, 0.0000) (multiplicity 2)
Cu (0.0000, 0.5000, 0.2500) (multiplicity 2)
Sn (0.0000, 0.0000, 0.5000) (multiplicity 2)
Sn (0.0000, 0.5000, 0.7500) (multiplicity 2)
N (0.2454, 0.2530, 0.1262) (multiplicity 8)

[13]
The following is a DFT calculation (PBE) of crystalline Ho4Si3Pd at its relaxed geometry.

Unit cell a=5.6887 b=3.9782 c=7.6530 alpha=90.00 beta=90.84 gamma=90.00
Space group Pm (No. 6)
Unique sites:
Ho (0.0000, 0.0000, 0.0000) (multiplicity 1)
Ho (0.2437, 0.5000, 0.3648) (multiplicity 1)
Ho (0.5043, 0.5000, 0.8632) (multiplicity 1)
Ho (0.7481, 0.0000, 0.5192) (multiplicity 1)
Si (0.2621, 0.0000, 0.6445) (multiplicity 1)
Si (0.4982, 0.0000, 0.1511) (multiplicity 1)
Si (0.7506, 0.5000, 0.2299) (multiplicity 1)
Pd (0.9961, 0.5000, 0.7268) (multiplicity 1)

[14]
The following is a DFT calculation (PBE) of crystalline HoSbPb2O6 at its relaxed geometry.

## Properties
Energy above the lowest structure with this stoichiometry, meV per atom: 0.0

Unit cell a=10.1616 b=5.8362 c=10.1672 alpha=90.00 beta=108.56 gamma=90.00
Space group C2/c (No. 15)
Unique sites:
Ho (0.0000, 0.2499, 0.2500) (multiplicity 4)
Sb (0.2500, 0.2500, 0.0000) (multiplicity 4)
Pb (0.1310, 0.2242, 0.6264) (multiplicity 8)
O (0.0976, 0.2087, 0.0838) (multiplicity 8)
O (0.1500, 0.0327, 0.8494) (multiplicity 8)
O (0.1548, 0.4856, 0.3818) (multiplicity 8)

[15]
The following is a DFT calculation (PBE) of crystalline HfAlCoMo at its relaxed geometry.

## Properties
Energy above the lowest structure with this stoichiometry, meV per atom: 0.0

Unit cell a=6.2314 b=6.2314 c=6.2314 alpha=90.00 beta=90.00 gamma=90.00
Space group F-43m (No. 216)
Unique sites:
Hf (0.0000, 0.0000, 0.0000) (multiplicity 4)
Al (0.0000, 0.0000, 0.5000) (multiplicity 4)
Co (0.2500, 0.2500, 0.7500) (multiplicity 4)
Mo (0.2500, 0.2500, 0.2500) (multiplicity 4)

[16]
The following is a DFT calculation (PBE) of crystalline Hf4BiC2Se at its relaxed geometry.

Unit cell a=3.4383 b=3.4383 c=13.3894 alpha=90.00 beta=90.00 gamma=120.00
Space group P-6m2 (No. 187)
Unique sites:
Hf (0.0000, 0.0000, 0.1444) (multiplicity 2)
Hf (0.3333, 0.6667, 0.3201) (multiplicity 2)
Bi (0.0000, 0.0000, 0.5000) (multiplicity 1)
C (0.6667, 0.3333, 0.2329) (multiplicity 2)
Se (0.3333, 0.6667, 0.0000) (multiplicity 1)

[17]
The following is a DFT calculation (PBE) of crystalline RbTaP2S8 at its relaxed geometry.

Unit cell a=10.0208 b=6.4967 c=9.4884 alpha=90.00 beta=100.46 gamma=90.00
Space group C2/m (No. 12)
Unique sites:
Rb (0.0000, 0.0000, 0.0000) (multiplicity 2)
Ta (0.0000, 0.0000, 0.5000) (multiplicity 2)
P (0.1148, 0.5000, 0.2998) (multiplicity 4)
S (0.0238, 0.2547, 0.6941) (multiplicity 8)
S (0.1779, 0.5000, 0.1156) (multiplicity 4)
S (0.2448, 0.0000, 0.5069) (multiplicity 4)

[18]
The following is a DFT calculation (PBE) of crystalline Cu15Ge at its relaxed geometry.

## Properties
Energy above the lowest structure with this stoichiometry, meV per atom: 35.2

Unit cell a=7.2117 b=2.5730 c=34.2950 alpha=90.00 beta=90.01 gamma=90.00
Space group P2_1/m (No. 11)
Unique sites:
Cu (0.1221, 0.2500, 0.2440) (multiplicity 2)
Cu (0.1249, 0.2500, 0.0187) (multiplicity 2)
Cu (0.1249, 0.2500, 0.0934) (multiplicity 2)
Cu (0.1248, 0.2500, 0.1682) (multiplicity 2)
Cu (0.1251, 0.2500, 0.7212) (multiplicity 2)
Cu (0.1250, 0.2500, 0.7949) (multiplicity 2)
Cu (0.1250, 0.2500, 0.8693) (multiplicity 2)
Cu (0.1250, 0.2500, 0.9439) (multiplicity 2)
Cu (0.3722, 0.7500, 0.7560) (multiplicity 2)
Cu (0.3750, 0.7500, 0.0562) (multiplicity 2)
Cu (0.3751, 0.7500, 0.1309) (multiplicity 2)
Cu (0.3750, 0.7500, 0.2056) (multiplicity 2)
Cu (0.3748, 0.7500, 0.8319) (multiplicity 2)
Cu (0.3749, 0.7500, 0.9066) (multiplicity 2)
Cu (0.3749, 0.7500, 0.9815) (multiplicity 2)
Ge (0.3751, 0.7500, 0.2824) (multiplicity 2)

[19]
The following is a DFT calculation (PBE) of crystalline HfCuSn2 at its relaxed geometry.

Unit cell a=7.0117 b=7.0117 c=7.0117 alpha=90.00 beta=90.00 gamma=90.00
Space group F-43m (No. 216)
Unique sites:
Hf (0.0000, 0.0000, 0.0000) (multiplicity 4)
Cu (0.2500, 0.2500, 0.2500) (multiplicity 4)
Sn (0.0000, 0.0000, 0.5000) (multiplicity 4)
Sn (0.2500, 0.2500, 0.7500) (multiplicity 4)

[20]
The following is a DFT calculation (PBE) of crystalline Pr2Tm2O5 at its relaxed geometry.

## Properties
Energy above the lowest structure with this stoichiometry, meV per atom: 172.3

Unit cell a=3.9406 b=3.9406 c=9.8383 alpha=90.00 beta=90.00 gamma=90.00
Space group P4/mmm (No. 123)
Unique sites:
Pr (0.0000, 0.0000, 0.2408) (multiplicity 2)
Tm (0.5000, 0.5000, 0.0000) (multiplicity 1)
Tm (0.5000, 0.5000, 0.5000) (multiplicity 1)
O (0.0000, 0.0000, 0.5000) (multiplicity 1)
O (0.0000, 0.5000, 0.1323) (multiplicity 4)

[21]
The following is a DFT calculation (PBE) of crystalline LuFeBi2 at its relaxed geometry.

## Properties
Energy above the lowest structure with this stoichiometry, meV per atom: 0.0

Unit cell a=7.2484 b=7.2484 c=7.2484 alpha=90.00 beta=90.00 gamma=90.00
Space group F-43m (No. 216)
Unique sites:
Lu (0.0000, 0.0000, 0.0000) (multiplicity 4)
Fe (0.2500, 0.2500, 0.2500) (multiplicity 4)
Bi (0.0000, 0.0000, 0.5000) (multiplicity 4)
Bi (0.2500, 0.2500, 0.7500) (multiplicity 4)

[22]
The following is a DFT calculation (PBE) of crystalline ErTmGe4 at its relaxed geometry.

Unit cell a=3.9060 b=4.0281 c=15.8735 alpha=90.00 beta=90.00 gamma=90.00
Space group Amm2 (No. 38)
Unique sites:
Er (0.0000, 0.0000, 0.0000) (multiplicity 2)
Tm (0.5000, 0.0000, 0.2061) (multiplicity 2)
Ge (0.0000, 0.0000, 0.3546) (multiplicity 2)
Ge (0.0000, 0.0000, 0.6574) (multiplicity 2)
Ge (0.5000, 0.0000, 0.5502) (multiplicity 2)
Ge (0.5000, 0.0000, 0.8508) (multiplicity 2)

[23]
The following is a DFT calculation (PBE) of crystalline PuFe4B4 at its relaxed geometry.

Unit cell a=6.8426 b=6.8426 c=3.8516 alpha=90.00 beta=90.00 gamma=90.00
Space group P4_2/n (No. 86, origin choice 2)
Unique sites:
Pu (0.2500, 0.2500, 0.2500) (multiplicity 2)
Fe (0.1225, 0.6258, 0.1434) (multiplicity 8)
B (0.0479, 0.9133, 0.1439) (multiplicity 8)

Calculated E_tot in order - -91.99 -39.02 -66.07 -60.32 -128.04 -86.55 -43.24 -66.96 -62.98 -56.90 -76.91 -91.33 -46.23 -258.93 -128.61 -72.88 -124.76 -118.15 -82.29 -67.42 -78.98 -62.23 -152.40 eV/cell